Pa3MnAs2O6: optimized geometry, GGA+U.

Cell: 12.138 7.568 5.658 Å, 90.00 106.68 90.00°
Space group C2/m (No. 12)
Asymmetric unit:
Pa 0.000 0.000 0.000 [2 per cell]
Pa 0.250 0.250 0.500 [4 per cell]
Mn 0.000 0.500 0.500 [2 per cell]
As 0.210 0.000 0.857 [4 per cell]
O 0.082 0.197 0.272 [8 per cell]
O 0.168 0.500 0.578 [4 per cell]

Values from the calculation:
Total magnetization (μB/atom): 0.334
D(E_F) (states/eV per cell): 15.10
Total DFT energy (no corrections) (eV per formula unit): -102.8
Theoretical density (g cm⁻³): 6.63
Crystal system: monoclinic